PBE KRe2Rh, optimized geometry; excess energy over the best structure of this formula in the dataset = 1.20 eV per formula unit; calculated formation energy = 0.90 eV/atom; uncorrected energy = -7.44 eV/atom
1.0
-1.191 -0.996 -5.957
2.218 -4.631 -3.396
-3.294 2.490 4.566
Rh Re K
1 2 1
Direct
0.250 0.750 0.500
0.040 0.040 0.000
0.460 0.460 0.000
0.750 0.250 0.500


PBE AlGaFeNi, optimized geometry; excess energy over the best structure of this formula in the dataset = 0.16 eV per formula unit; calculated formation energy = -0.35 eV/atom; uncorrected energy = -5.60 eV/atom
1.0
4.080 0.000 0.000
2.040 3.534 0.000
2.040 1.178 3.332
Fe Ni Ga Al
1 1 1 1
Direct
0.750 0.750 0.750
0.250 0.250 0.250
0.500 0.500 0.500
0.000 0.000 0.000


PBE Tb2Sm2YHo, optimized geometry; calculated formation energy = 0.06 eV/atom; uncorrected energy = -4.90 eV/atom
1.0
-5.473 -1.314 -0.454
0.793 -0.912 -6.916
2.139 -9.424 1.488
Tb Sm Ho Y
4 4 2 2
Direct
0.000 0.758 0.162
0.000 0.258 0.838
0.500 0.258 0.330
0.500 0.758 0.670
0.500 0.008 0.000
0.000 0.257 0.174
0.500 0.508 0.000
0.000 0.757 0.826
0.500 0.258 0.660
0.500 0.758 0.340
0.000 0.008 0.500
0.000 0.508 0.500


| no. | total magnetic moment (μB/atom) |
| --- | --- |
| 1 | 0.0000 |
| 2 | 0.0555 |
| 3 | 0.0000 |